Compound: Rb3GeCl
Source: Alexandria via LeMat-Bulk
Functional: GGA-PBE
Structure: relaxed

abc: 6.2663 6.2663 6.2663
angles: 90.00 90.00 90.00
With the nearest neighbours (Å) after each atom.
Positions (direct):
1 Rb 0.5000 0.0000 0.0000  2 Cl 3.13
2 Rb 0.0000 0.5000 0.0000  2 Cl 3.13
3 Rb 0.0000 0.0000 0.5000  2 Cl 3.13
4 Ge 0.5000 0.5000 0.5000  12 Rb 4.43
5 Cl 0.0000 0.0000 0.0000  6 Rb 3.13


Compound: RbGe3Cl7
Source: Alexandria via LeMat-Bulk
Functional: GGA-PBE
Structure: relaxed

abc: 6.9069 6.8201 6.9069
angles: 99.09 86.99 99.09
With the nearest neighbours (Å) after each atom.
Positions (direct):
1 Cl 0.9472 0.7233 0.3460  2 Ge 2.63-2.66
2 Cl 0.1446 0.1994 0.1446  3 Ge 2.66-2.76
3 Cl 0.5000 0.0000 0.5000  2 Ge 2.75
4 Cl 0.3460 0.7233 0.9472  2 Ge 2.63-2.66
5 Cl 0.0528 0.2767 0.6540  2 Ge 2.63-2.66
6 Cl 0.8554 0.8006 0.8554  3 Ge 2.66-2.76
7 Cl 0.6540 0.2767 0.0528  2 Ge 2.63-2.66
8 Ge 0.7895 0.0000 0.2105  5 Cl 2.63-2.75
9 Ge 0.0000 0.5000 0.0000  6 Cl 2.66-2.76
10 Ge 0.2105 0.0000 0.7895  5 Cl 2.63-2.75
11 Rb 0.5000 0.5000 0.5000  8 Cl 3.41-3.70


Compound: Rb2GeCl4
Source: Alexandria via LeMat-Bulk
Functional: GGA-PBE
Structure: relaxed

abc: 5.2765 5.2765 9.1080
angles: 73.16 73.16 90.00
With the nearest neighbours (Å) after each atom.
Positions (direct):
1 Rb 0.3587 0.3587 0.2826  5 Cl 3.28-3.53
2 Rb 0.6413 0.6413 0.7174  5 Cl 3.28-3.53
3 Cl 0.0000 0.5000 0.0000  2 Ge 2.64
4 Cl 0.1612 0.1612 0.6777  1 Ge 2.68
5 Cl 0.8388 0.8388 0.3223  1 Ge 2.68
6 Cl 0.5000 0.0000 0.0000  2 Ge 2.64
7 Ge 0.0000 0.0000 0.0000  6 Cl 2.64-2.68


Compound: Rb3GeCl6
Source: Alexandria via LeMat-Bulk
Functional: GGA-PBE
Structure: relaxed

abc: 7.8893 7.8893 7.8888
angles: 60.00 60.00 90.00
With the nearest neighbours (Å) after each atom.
Positions (direct):
1 Ge 0.5000 0.5000 0.0000  6 Cl 2.48
2 Rb 0.7500 0.2500 0.5000  12 Cl 3.96
3 Rb 0.2500 0.7500 0.5000  12 Cl 3.96
4 Rb 0.0000 0.0000 0.0000  6 Cl 3.09
5 Cl 0.2773 0.2773 0.4453  1 Ge 2.48
6 Cl 0.7226 0.7226 0.0000  1 Ge 2.48
7 Cl 0.2774 0.7226 0.0000  1 Ge 2.48
8 Cl 0.7226 0.2774 0.0000  1 Ge 2.48
9 Cl 0.7227 0.7227 0.5547  1 Ge 2.48
10 Cl 0.2774 0.2774 0.0000  1 Ge 2.48


Compound: RbGe2Cl7
Source: Alexandria via LeMat-Bulk
Functional: GGA-PBE
Structure: relaxed

abc: 4.5306 7.8577 9.6838
angles: 113.94 90.00 90.00
With the nearest neighbours (Å) after each atom.
Positions (direct):
1 Cl 0.0000 0.3084 0.6168  2 Ge 2.46
2 Cl 0.5000 0.3293 0.2640  1 Ge 2.38
3 Cl 0.5000 0.5000 0.0000  2 Ge 2.44
4 Cl 0.5000 0.9347 0.2640  1 Ge 2.38
5 Cl 0.5000 0.0653 0.7360  1 Ge 2.38
6 Cl 0.5000 0.6707 0.7360  1 Ge 2.38
7 Cl 0.0000 0.6916 0.3832  2 Ge 2.46
8 Rb 0.0000 0.0000 0.0000  8 Cl 3.60
9 Ge 0.5000 0.3621 0.7242  5 Cl 2.38-2.46
10 Ge 0.5000 0.6379 0.2758  5 Cl 2.38-2.46


Compound: RbGe2Cl4
Source: Alexandria via LeMat-Bulk
Functional: GGA-PBE
Structure: relaxed

abc: 7.1330 7.1330 7.1330
angles: 107.51 107.51 113.47
With the nearest neighbours (Å) after each atom.
Positions (direct):
1 Rb 0.5000 0.5000 0.0000  4 Cl 3.28
2 Cl 0.1452 0.6580 0.8031  2 Ge 2.66
3 Cl 0.6580 0.8548 0.5128  2 Ge 2.66
4 Cl 0.3420 0.1452 0.4872  2 Ge 2.66
5 Cl 0.8548 0.3420 0.1969  2 Ge 2.66
6 Ge 0.7500 0.2500 0.5000  4 Cl 2.66
7 Ge 0.2500 0.7500 0.5000  4 Cl 2.66


Compound: Rb2GeCl4
Source: Alexandria via LeMat-Bulk
Functional: GGA-PBE
Structure: relaxed

abc: 6.9914 13.0112 11.0191
angles: 90.00 90.00 90.00
With the nearest neighbours (Å) after each atom.
Positions (direct):
1 Cl 0.5001 0.2348 0.6682  1 Ge 2.33
2 Cl 0.0001 0.2652 0.1682  1 Ge 2.33
3 Cl 0.4999 0.2652 0.1682  1 Ge 2.33
4 Cl 0.4999 0.7652 0.3318  1 Ge 2.33
5 Cl 0.0001 0.7652 0.3318  1 Ge 2.33
6 Cl 0.2500 0.9083 0.5573  1 Ge 2.63
7 Cl 0.2500 0.4083 0.9427  1 Ge 2.63
8 Cl 0.2500 0.0255 0.1301  1 Ge 2.76
9 Cl 0.7500 0.9745 0.8699  1 Ge 2.76
10 Cl 0.2500 0.5255 0.3699  1 Ge 2.76
11 Cl 0.9999 0.7348 0.8318  1 Ge 2.33
12 Cl 0.9999 0.2348 0.6682  1 Ge 2.33
13 Cl 0.7500 0.0917 0.4427  1 Ge 2.63
14 Cl 0.5001 0.7348 0.8318  1 Ge 2.33
15 Cl 0.7500 0.5917 0.0573  1 Ge 2.63
16 Cl 0.7500 0.4745 0.6301  1 Ge 2.76
17 Ge 0.2500 0.2225 0.0371  2 Cl 2.33
18 Ge 0.7500 0.2775 0.5371  2 Cl 2.33
19 Ge 0.2500 0.7225 0.4629  2 Cl 2.33
20 Ge 0.7500 0.7775 0.9629  2 Cl 2.33
21 Rb 0.7500 0.0321 0.1586  6 Cl 3.23-3.51
22 Rb 0.2500 0.9679 0.8414  6 Cl 3.23-3.51
23 Rb 0.7500 0.3748 0.9087  6 Cl 3.26-3.64
24 Rb 0.7500 0.8748 0.5913  6 Cl 3.26-3.64
25 Rb 0.7500 0.5321 0.3414  6 Cl 3.23-3.51
26 Rb 0.2500 0.4679 0.6586  6 Cl 3.23-3.51
27 Rb 0.2500 0.1252 0.4087  6 Cl 3.26-3.64
28 Rb 0.2500 0.6252 0.0913  6 Cl 3.26-3.64


Compound: Rb2Ge2Cl5
Source: Alexandria via LeMat-Bulk
Functional: GGA-PBE
Structure: relaxed

abc: 4.4805 9.8468 8.4741
angles: 120.82 90.00 103.15
With the nearest neighbours (Å) after each atom.
Positions (direct):
1 Rb 0.5915 0.1830 0.3109  7 Cl 3.19-3.56
2 Rb 0.4085 0.8170 0.6891  7 Cl 3.19-3.56
3 Ge 0.1763 0.3526 0.8624  3 Cl 2.34-2.58
4 Ge 0.8237 0.6474 0.1376  3 Cl 2.34-2.58
5 Cl 0.0000 0.0000 0.0000  4 Rb 3.19
6 Cl 0.7807 0.5614 0.3505  1 Ge 2.34
7 Cl 0.5998 0.1997 0.7407  2 Ge 2.58
8 Cl 0.2193 0.4386 0.6495  1 Ge 2.34
9 Cl 0.4002 0.8003 0.2593  2 Ge 2.58


Compound: Rb2GeCl4
Source: Alexandria via LeMat-Bulk
Functional: GGA-PBE
Structure: relaxed

abc: 7.7178 6.9101 10.0901
angles: 90.00 116.12 90.00
With the nearest neighbours (Å) after each atom.
Positions (direct):
1 Cl 0.0898 0.7500 0.3862  1 Ge 2.77
2 Cl 0.5845 0.4948 0.7524  1 Ge 2.34
3 Cl 0.4155 0.5052 0.2476  1 Ge 2.34
4 Cl 0.4155 0.9948 0.2476  1 Ge 2.34
5 Cl 0.2079 0.7500 0.8993  1 Ge 2.62
6 Cl 0.5845 0.0052 0.7524  1 Ge 2.34
7 Cl 0.7921 0.2500 0.1007  1 Ge 2.62
8 Cl 0.9102 0.2500 0.6138  1 Ge 2.77
9 Rb 0.8100 0.7500 0.5685  8 Cl 3.40-3.73
10 Rb 0.6801 0.7500 0.0828  8 Cl 3.28-3.58, 1 Ge 3.64
11 Rb 0.3199 0.2500 0.9172  8 Cl 3.28-3.58, 1 Ge 3.64
12 Rb 0.1900 0.2500 0.4315  8 Cl 3.40-3.73
13 Ge 0.8163 0.2500 0.8495  2 Cl 2.34
14 Ge 0.1837 0.7500 0.1505  2 Cl 2.34


Compound: RbGeCl4
Source: Alexandria via LeMat-Bulk
Functional: GGA-PBE
Structure: relaxed

abc: 7.2213 6.9637 9.6630
angles: 110.19 111.04 92.34
With the nearest neighbours (Å) after each atom.
Positions (direct):
1 Cl 0.6750 0.8129 0.1008  1 Ge 2.31
2 Cl 0.2010 0.0657 0.4040  1 Ge 2.36
3 Cl 0.7029 0.3383 0.4040  1 Ge 2.36
4 Cl 0.7990 0.9343 0.5960  1 Ge 2.36
5 Cl 0.2971 0.6617 0.5960  1 Ge 2.36
6 Cl 0.0742 0.7121 0.8992  1 Ge 2.31
7 Cl 0.9258 0.2879 0.1008  1 Ge 2.31
8 Cl 0.3250 0.1871 0.8992  1 Ge 2.31
9 Ge 0.1169 0.8669 0.7337  4 Cl 2.31-2.36
10 Ge 0.8831 0.1331 0.2663  4 Cl 2.31-2.36
11 Rb 0.6247 0.3747 0.7495  8 Cl 3.42-3.58
12 Rb 0.3753 0.6253 0.2505  8 Cl 3.42-3.58


Compound: RbGeCl2
Source: Alexandria via LeMat-Bulk
Functional: GGA-PBE
Structure: relaxed

abc: 6.1446 6.1446 9.2751
angles: 70.66 70.66 90.00
With the nearest neighbours (Å) after each atom.
Positions (direct):
1 Ge 0.2500 0.7500 0.5000  4 Cl 2.76
2 Ge 0.5000 0.5000 0.0000  4 Cl 2.76
3 Cl 0.3750 0.4555 0.7500  2 Ge 2.76
4 Cl 0.8750 0.7945 0.7500  2 Ge 2.76
5 Cl 0.5445 0.1250 0.2500  2 Ge 2.76
6 Cl 0.2055 0.6250 0.2500  2 Ge 2.76
7 Rb 0.7500 0.2500 0.5000  4 Cl 3.27
8 Rb 0.0000 0.0000 0.0000  4 Cl 3.27


Compound: Rb2GeCl
Source: Alexandria via LeMat-Bulk
Functional: GGA-PBE
Structure: relaxed

abc: 6.0282 6.0282 6.0282
angles: 60.00 60.00 60.00
With the nearest neighbours (Å) after each atom.
Positions (direct):
1 Cl 0.0000 0.0000 0.0000  8 Rb 3.69
2 Ge 0.5000 0.5000 0.5000  8 Rb 3.69
3 Rb 0.7500 0.7500 0.7500  4 Ge 3.69, 4 Cl 3.69
4 Rb 0.2500 0.2500 0.2500  4 Ge 3.69, 4 Cl 3.69


Short version: formation energy from raw total energies = -0.523, -0.942, -1.479, -1.428, -0.879, -0.718, -1.467, -1.139, -1.474, -1.137, -0.789, -0.498 eV/atom, in the order given.